# 1
VASP calculation (PBE) on an optimized crystal structure of NaLaPmAl.

Cell and atoms, written as extended XYZ:
```
4
Lattice="5.472 0.000 0.000 2.736 4.739 0.000 2.736 1.580 4.468" Properties=species:S:1:pos:R:3 pbc="T T T"
Pm 8.207 4.739 3.351
Al 5.472 3.159 2.234
Na 0.000 0.000 0.000
La 2.736 1.580 1.117
```

## Properties
**Raw total energy**: -3.748 eV per atom
**N(E_F)**: 5.1 states/eV/cell
**Energy of formation from the pure elements**: -0.063 eV per atom

---

# 2
VASP calculation (PBE) on an optimized crystal structure of AsW2Cl.

Cell and atoms, written as extended XYZ:
```
4
Lattice="-0.247 -1.907 4.413 0.303 -4.757 -0.675 2.888 3.485 -1.640" Properties=species:S:1:pos:R:3 pbc="T T T"
W 0.000 0.000 0.000
W 1.610 -2.302 -0.222
Cl 1.334 -0.877 2.322
As 0.028 -3.332 1.869
```

## Properties
**Raw total energy**: -7.159 eV per atom
**Formation energy from raw total energies**: 0.942 eV per atom
**N(E_F)**: 2.9 states/eV/cell
**Polymorph energy (0 for the lowest one)**: 954 meV per atom

---

# 3
VASP calculation (PBE) on an optimized crystal structure of DyCd7Ag5.

Cell and atoms, written as extended XYZ:
```
13
Lattice="5.205 0.000 2.138 2.620 6.974 1.026 -0.047 -0.024 7.521" Properties=species:S:1:pos:R:3 pbc="T T T"
Ag 6.520 3.510 2.655
Ag 3.906 3.510 1.581
Ag 5.179 -0.010 5.921
Ag 5.743 5.451 8.233
Ag 2.565 -0.010 4.848
Cd 2.031 1.510 2.461
Cd 6.896 4.601 5.426
Cd 4.689 5.566 3.394
Cd 6.063 2.414 7.455
Cd 3.489 4.533 6.317
Cd 3.092 1.376 7.283
Cd 4.311 2.362 4.315
Dy 2.597 6.888 8.489
```

## Properties
**Raw total energy**: -2.049 eV per atom
**N(E_F)**: 6.7 states/eV/cell
**Energy of formation from the pure elements**: -0.106 eV per atom

---

# 4
VASP calculation (PBE) on an optimized crystal structure of Ba2C.

Cell and atoms, written as extended XYZ:
```
6
Lattice="2.063 -9.462 0.000 2.063 9.462 0.000 0.000 0.000 6.333" Properties=species:S:1:pos:R:3 pbc="T T T"
Ba 2.063 3.985 1.583
Ba 2.063 -7.727 4.750
Ba 2.063 7.727 1.583
Ba 2.063 -3.985 4.750
C 2.063 -3.510 1.583
C 2.063 3.510 4.750
```

## Properties
**Raw total energy**: -3.691 eV per atom
**N(E_F)**: 4.0 states/eV/cell
**Polymorph energy (0 for the lowest one)**: 529 meV per atom
**Energy of formation from the pure elements**: 0.665 eV per atom

---

# 5
VASP calculation (PBE) on an optimized crystal structure of Li8Cd6Pd.

Cell and atoms, written as extended XYZ:
```
15
Lattice="6.507 0.223 3.328 2.131 6.152 3.328 0.302 0.223 7.302" Properties=species:S:1:pos:R:3 pbc="T T T"
Li 2.773 1.410 8.071
Li 6.167 5.188 5.887
Li 3.740 2.760 5.839
Li 5.774 1.116 8.064
Li 3.167 5.482 5.894
Li 2.514 4.363 8.617
Li 6.426 2.235 5.341
Li 5.201 3.838 8.119
Cd 4.085 1.753 3.075
Cd 1.995 0.520 4.997
Cd 1.589 3.387 3.902
Cd 4.856 4.845 10.882
Cd 6.945 6.078 8.961
Cd 7.351 3.211 10.056
Pd 0.000 0.000 0.000
```

## Properties
**Raw total energy**: -1.942 eV per atom
**N(E_F)**: 8.6 states/eV/cell
**Polymorph energy (0 for the lowest one)**: 0 meV per atom
**Energy of formation from the pure elements**: -0.209 eV per atom

---

# 6
VASP calculation (PBE) on an optimized crystal structure of MnPb.

Cell and atoms, written as extended XYZ:
```
8
Lattice="5.533 0.000 0.000 0.000 5.533 0.000 0.000 0.000 5.533" Properties=species:S:1:pos:R:3 pbc="T T T"
Mn 2.178 2.178 2.178
Mn 4.945 0.588 3.354
Mn 0.588 3.354 4.945
Mn 3.354 4.945 0.588
Pb 5.030 3.270 2.263
Pb 2.263 5.030 3.270
Pb 0.503 0.503 0.503
Pb 3.270 2.263 5.030
```

## Properties
**Raw total energy**: -5.945 eV per atom
**N(E_F)**: 7.0 states/eV/cell
**Energy of formation from the pure elements**: 0.494 eV per atom

---

# 7
VASP calculation (PBE) on an optimized crystal structure of IrPb2Au.

Cell and atoms, written as extended XYZ:
```
4
Lattice="4.872 0.003 -0.022 3.705 3.163 -0.022 1.061 0.392 6.258" Properties=species:S:1:pos:R:3 pbc="T T T"
Au 4.769 1.761 3.293
Pb 2.386 0.881 2.047
Pb 1.140 0.421 5.757
Ir 7.223 2.667 4.481
```

## Properties
**Raw total energy**: -4.622 eV per atom
**N(E_F)**: 1.5 states/eV/cell
**Polymorph energy (0 for the lowest one)**: 80 meV per atom
**Energy of formation from the pure elements**: 0.267 eV per atom

---

# 8
VASP calculation (PBE) on an optimized crystal structure of CrFeMo2.

Cell and atoms, written as extended XYZ:
```
4
Lattice="-0.423 1.477 2.137 -2.588 -0.430 -0.215 0.680 -6.368 4.537" Properties=species:S:1:pos:R:3 pbc="T T T"
Mo 0.659 -6.172 4.397
Mo -1.323 -1.186 2.179
Fe -1.012 -4.100 4.256
Cr 0.364 -3.415 2.433
```

## Properties
**Raw total energy**: -9.744 eV per atom
**N(E_F)**: 5.5 states/eV/cell
**Polymorph energy (0 for the lowest one)**: 93 meV per atom
**Energy of formation from the pure elements**: 0.193 eV per atom

---

Number 1: magnetization 0.0 μB/f.u.. Number 2: magnetization 0.0 μB/f.u.. Number 3: magnetization 0.0 μB/f.u.. Number 4: magnetization 0.7 μB/f.u.. Number 5: magnetization 0.0 μB/f.u.. Number 6: magnetization 3.4 μB/f.u.. Number 7: magnetization 0.0 μB/f.u.. Number 8: magnetization 0.0 μB/f.u..